1.
Below is a crystal of CaCdAg4 relaxed with PBEsol, with properties calculated at the SCAN level.

**Formation energy**: -0.2032 eV/atom

abc: 5.496 5.496 5.496
angles: 60.00 60.00 60.00
Atoms (fractional coordinates):
Ca: 0.000 0.000 0.000
Cd: 0.250 0.250 0.250
Ag: 0.126 0.625 0.625
Ag: 0.625 0.126 0.625
Ag: 0.625 0.625 0.126
Ag: 0.625 0.625 0.625

=====

2.
Below is a crystal of CaCdAg2 relaxed with PBEsol, with properties calculated at the SCAN level.

**Formation energy**: -0.2040 eV/atom

abc: 5.259 5.259 5.259
angles: 130.83 130.83 72.08
Atoms (fractional coordinates):
Ca: 0.000 0.000 0.000
Cd: 0.750 0.250 0.500
Ag: 0.250 0.750 0.500
Ag: 0.500 0.500 0.000

=====

3.
Below is a crystal of Ca2CdAgHg relaxed with PBEsol, with properties calculated at the SCAN level.

**Formation energy**: -0.1111 eV/atom

abc: 5.579 5.579 5.072
angles: 90.00 90.00 90.00
Atoms (fractional coordinates):
Ca: 0.000 0.500 0.000
Ca: 0.500 0.000 0.000
Cd: 0.000 0.000 0.500
Ag: 0.000 0.000 0.000
Hg: 0.500 0.500 0.500

=====

4.
Below is a crystal of CaCdAg2O relaxed with PBEsol, with properties calculated at the SCAN level.

**Formation energy (no corrections)**: -0.058 eV per atom

abc: 5.190 5.190 4.195
angles: 90.00 90.00 90.00
Atoms (fractional coordinates):
Ca: 0.000 0.000 0.000
Cd: 0.500 0.500 0.500
Ag: 0.000 0.500 0.500
Ag: 0.500 0.000 0.500
O: 0.500 0.500 0.000

=====

5.
Below is a crystal of CaCeAg2 relaxed with PBEsol, with properties calculated at the SCAN level.

**Formation energy**: -0.2173 eV/atom

abc: 5.146 5.146 5.146
angles: 60.00 60.00 60.00
Atoms (fractional coordinates):
Ca: 0.000 0.000 0.000
Ce: 0.500 0.500 0.500
Ag: 0.250 0.250 0.250
Ag: 0.750 0.750 0.750

=====

6.
Below is a crystal of Ca2AgCl relaxed with PBEsol, with properties calculated at the SCAN level.

**Formation energy (no corrections)**: -0.934 eV per atom

abc: 4.581 6.373 6.373
angles: 34.17 90.00 90.00
Atoms (fractional coordinates):
Ca: 0.000 0.000 0.000
Ca: 0.500 0.263 0.263
Ag: 0.500 0.536 0.536
Cl: 0.000 0.774 0.774